Record 1
Below is a geometry-optimized Te7As2F12 structure, with properties calculated at the GGA-PBE level.

```
Te7As2F12
1.0
16.721 0.000 0.000
0.000 11.375 0.000
0.000 0.000 9.984
Te As F
28 8 48
direct
0.000 0.069 0.249
0.000 0.431 0.249
0.000 0.569 0.751
0.000 0.931 0.751
0.011 0.250 0.596
0.116 0.578 0.361
0.116 0.922 0.361
0.127 0.030 0.622
0.127 0.470 0.622
0.373 0.530 0.122
0.373 0.970 0.122
0.384 0.078 0.861
0.384 0.422 0.861
0.489 0.750 0.096
0.500 0.069 0.251
0.500 0.431 0.251
0.500 0.569 0.749
0.500 0.931 0.749
0.511 0.250 0.904
0.616 0.578 0.139
0.616 0.922 0.139
0.627 0.030 0.878
0.627 0.470 0.878
0.873 0.530 0.378
0.873 0.970 0.378
0.884 0.078 0.639
0.884 0.422 0.639
0.989 0.750 0.404
0.168 0.250 0.017
0.184 0.750 0.986
0.316 0.250 0.486
0.332 0.750 0.517
0.668 0.250 0.483
0.684 0.750 0.514
0.816 0.250 0.014
0.832 0.750 0.983
0.063 0.250 0.003
0.119 0.640 0.049
0.119 0.860 0.049
0.130 0.750 0.831
0.163 0.139 0.142
0.163 0.361 0.142
0.175 0.139 0.892
0.175 0.361 0.892
0.225 0.750 0.531
0.237 0.750 0.140
0.249 0.640 0.923
0.249 0.860 0.923
0.251 0.140 0.423
0.251 0.360 0.423
0.263 0.250 0.640
0.275 0.250 0.031
0.325 0.639 0.392
0.325 0.861 0.392
0.337 0.639 0.642
0.337 0.861 0.642
0.370 0.250 0.331
0.381 0.140 0.549
0.381 0.360 0.549
0.437 0.750 0.503
0.563 0.250 0.497
0.619 0.640 0.451
0.619 0.860 0.451
0.630 0.750 0.669
0.663 0.139 0.358
0.663 0.361 0.358
0.675 0.139 0.608
0.675 0.361 0.608
0.725 0.750 0.969
0.737 0.750 0.360
0.749 0.640 0.577
0.749 0.860 0.577
0.751 0.140 0.077
0.751 0.360 0.077
0.763 0.250 0.860
0.775 0.250 0.469
0.825 0.639 0.108
0.825 0.861 0.108
0.837 0.639 0.858
0.837 0.861 0.858
0.870 0.250 0.169
0.881 0.140 0.951
0.881 0.360 0.951
0.937 0.750 0.997
```

Output
Uncorrected formation energy   -1493 meV/atom
Space-group type   Pnma
ρ   4.4 Mg/m³

Record 2
Below is a geometry-optimized TeAs3F structure, with properties calculated at the GGA-PBE level.

```
TeAs3F
1.0
5.337 0.000 0.000
0.000 5.337 0.000
0.000 0.000 5.337
Te As F
1 3 1
direct
0.000 0.000 0.000
0.000 0.000 0.500
0.000 0.500 0.000
0.500 0.000 0.000
0.500 0.500 0.500
```

Output
Uncorrected formation energy   896 meV/atom
Energy relative to the lowest polymorph listed for this composition   553 meV per atom
Space-group type   Pm-3m
ρ   4.1 Mg/m³

Record 3
Below is a geometry-optimized TeAs3F structure, with properties calculated at the GGA-PBE level.

```
TeAs3F
1.0
4.686 0.000 0.000
0.000 4.686 0.000
0.000 0.000 4.686
Te As F
1 3 1
direct
0.000 0.000 0.000
0.000 0.500 0.500
0.500 0.000 0.500
0.500 0.500 0.000
0.500 0.500 0.500
```

Output
Uncorrected formation energy   343 meV/atom
Energy relative to the lowest polymorph listed for this composition   0 meV per atom
Space-group type   Pm-3m
ρ   6.0 Mg/m³

Record 4
Below is a geometry-optimized TeAsF structure, with properties calculated at the GGA-PBE level.

```
TeAsF
1.0
4.973 0.000 0.000
0.006 5.877 0.000
1.992 2.922 6.070
Te As F
2 2 2
direct
0.000 0.000 0.000
0.326 0.726 0.546
0.098 0.467 0.970
0.228 0.163 0.576
0.416 0.423 0.057
0.910 0.206 0.489
```

Output
Uncorrected formation energy   -836 meV/atom
Space-group type   P1
ρ   4.1 Mg/m³

Record 5
Below is a geometry-optimized TeAs2F structure, with properties calculated at the GGA-PBE level.

```
TeAs2F
1.0
-4.625 4.625 2.262
4.625 -4.625 2.262
4.625 4.625 -2.262
Te As F
2 4 2
direct
0.000 0.000 0.000
0.750 0.250 0.500
0.057 0.625 0.932
0.375 0.307 0.432
0.693 0.125 0.068
0.875 0.943 0.568
0.250 0.750 0.500
0.500 0.500 0.000
```

Output
Uncorrected formation energy   -323 meV/atom
Energy relative to the lowest polymorph listed for this composition   0 meV per atom
Space-group type   I-42d
ρ   5.1 Mg/m³

Record 6
Below is a geometry-optimized Te3AsF structure, with properties calculated at the GGA-PBE level.

```
Te3AsF
1.0
4.946 0.000 0.000
0.000 4.946 0.000
0.000 0.000 4.946
Te As F
3 1 1
direct
0.000 0.000 0.500
0.000 0.500 0.000
0.500 0.000 0.000
0.500 0.500 0.500
0.000 0.000 0.000
```

Output
Uncorrected formation energy   348 meV/atom
Energy relative to the lowest polymorph listed for this composition   0 meV per atom
Space-group type   Pm-3m
ρ   6.5 Mg/m³